Record 1
Here is a geometry-optimized TbDyBPb structure from the Open Quantum Materials Database. Energies are from GGA-PBE.

Computed properties:
Size of the total moment (μB/f.u.): 0.0
SG: No. 187
Final energy (Ry/atom): -0.3744

a b c (Å): 3.705 3.705 16.774
angles (deg): 90.00 90.00 120.00
Element x y z (fractional)
Tb: 0.000 0.000 0.161
Tb: 0.000 0.000 0.839
Dy: 0.333 0.667 0.340
Dy: 0.333 0.667 0.660
B: 0.667 0.333 0.251
B: 0.667 0.333 0.749
Pb: 0.000 0.000 0.500
Pb: 0.333 0.667 0.000

***

Record 2
Here is a geometry-optimized TbDy3B2Pb2 structure from the Open Quantum Materials Database. Energies are from GGA-PBE.

Computed properties:
Size of the total moment (μB/f.u.): 0.2
SG: No. 156
Final energy (Ry/atom): -0.3744

a b c (Å): 3.702 3.702 16.746
angles (deg): 90.00 90.00 120.00
Element x y z (fractional)
Tb: 0.000 0.000 0.000
Dy: 0.000 0.000 0.322
Dy: 0.333 0.667 0.500
Dy: 0.333 0.667 0.821
B: 0.667 0.333 0.411
B: 0.667 0.333 0.910
Pb: 0.000 0.000 0.660
Pb: 0.333 0.667 0.161

***

Record 3
Here is a geometry-optimized TbDyBPb structure from the Open Quantum Materials Database. Energies are from GGA-PBE.

Computed properties:
Size of the total moment (μB/f.u.): 0.1
SG: No. 164
Final energy (Ry/atom): -0.3744

a b c (Å): 3.705 3.705 16.772
angles (deg): 90.00 90.00 120.00
Element x y z (fractional)
Tb: 0.333 0.667 0.090
Tb: 0.667 0.333 0.910
Dy: 0.333 0.667 0.411
Dy: 0.667 0.333 0.589
B: 0.000 0.000 0.000
B: 0.000 0.000 0.500
Pb: 0.333 0.667 0.749
Pb: 0.667 0.333 0.251

***

Record 4
Here is a geometry-optimized DyTmBPb structure from the Open Quantum Materials Database. Energies are from GGA-PBE.

Computed properties:
Size of the total moment (μB/f.u.): 0.0
SG: No. 187
Final energy (Ry/atom): -0.3732

a b c (Å): 3.668 3.668 16.579
angles (deg): 90.00 90.00 120.00
Element x y z (fractional)
Dy: 0.000 0.000 0.162
Dy: 0.000 0.000 0.838
Tm: 0.333 0.667 0.340
Tm: 0.333 0.667 0.660
B: 0.667 0.333 0.252
B: 0.667 0.333 0.748
Pb: 0.000 0.000 0.500
Pb: 0.333 0.667 0.000

***

Record 5
Here is a geometry-optimized Dy3TmB2Pb2 structure from the Open Quantum Materials Database. Energies are from GGA-PBE.

Computed properties:
Size of the total moment (μB/f.u.): 0.0
SG: No. 156
Final energy (Ry/atom): -0.3738

a b c (Å): 3.677 3.677 16.654
angles (deg): 90.00 90.00 120.00
Element x y z (fractional)
Dy: 0.000 0.000 0.000
Dy: 0.000 0.000 0.323
Dy: 0.333 0.667 0.503
Tm: 0.333 0.667 0.824
B: 0.667 0.333 0.413
B: 0.667 0.333 0.911
Pb: 0.000 0.000 0.665
Pb: 0.333 0.667 0.162

***

Record 6
Here is a geometry-optimized DyTmBPb structure from the Open Quantum Materials Database. Energies are from GGA-PBE.

Computed properties:
Size of the total moment (μB/f.u.): 0.0
SG: No. 164
Final energy (Ry/atom): -0.3732

a b c (Å): 3.665 3.665 16.594
angles (deg): 90.00 90.00 120.00
Element x y z (fractional)
Dy: 0.333 0.667 0.091
Dy: 0.667 0.333 0.909
Tm: 0.333 0.667 0.413
Tm: 0.667 0.333 0.587
B: 0.000 0.000 0.000
B: 0.000 0.000 0.500
Pb: 0.333 0.667 0.747
Pb: 0.667 0.333 0.253

***

Q: What is the final energy in the third record?
A: -0.3744 Ry/atom

***

Q: Which value of final energy does entry 6 give?
A: -0.3732 Ry/atom